(1)
# GGA-PBEsol K6ZnS4, optimized geometry
# Raw formation energy in eV/atom: -1.091
data_K6ZnS4
_cell_length_a 9.7102
_cell_length_b 9.7102
_cell_length_c 7.5465
_cell_angle_alpha 90.00
_cell_angle_beta 90.00
_cell_angle_gamma 120.00
_symmetry_space_group_name_H-M 'P 63 m c'
_symmetry_Int_Tables_number 186
_symmetry_space_group_name_Hall 'P 6c -2c'
loop_
_atom_site_label
_atom_site_fract_x
_atom_site_fract_y
_atom_site_fract_z
_atom_site_occupancy
K1 0.0552 0.5276 0.0000 1
K2 0.1472 0.2944 0.6787 1
Zn1 0.3333 0.6667 0.3830 1
S1 0.1977 0.3955 0.2863 1
S2 0.3333 0.6667 0.7016 1

(2)
# GGA-PBEsol K2ZnS, optimized geometry
# Raw formation energy in eV/atom: -0.465
data_K2ZnS
_cell_length_a 7.574
_cell_length_b 7.574
_cell_length_c 7.574
_cell_angle_alpha 90.00
_cell_angle_beta 90.00
_cell_angle_gamma 90.00
_symmetry_space_group_name_H-M 'F m -3 m'
_symmetry_Int_Tables_number 225
_symmetry_space_group_name_Hall '-F 4 2 3'
loop_
_atom_site_label
_atom_site_fract_x
_atom_site_fract_y
_atom_site_fract_z
_atom_site_occupancy
K1 0.250 0.250 0.250 1
Zn1 0.000 0.000 0.000 1
S1 0.000 0.000 0.500 1

The highest raw formation energy belongs to which entry?
K2ZnS

The lowest raw formation energy belongs to which entry?
K6ZnS4

Look up the raw formation energy of the second one.
-0.465 eV/atom

Which formula does entry 1 have?
K6ZnS4